A | LiPrHg: relaxed, PBE.

Computed properties:
Space group: P-62m (189)

POSCAR file:
```
LiPrHg
1.0
7.376 0.000 0.000
-3.688 6.388 0.000
0.000 0.000 4.893
Li Pr Hg
3 3 3
direct
0.000 0.229 0.000 Li
0.229 0.000 0.000 Li
0.771 0.771 0.000 Li
0.000 0.573 0.500 Pr
0.427 0.427 0.500 Pr
0.573 0.000 0.500 Pr
0.000 0.000 0.500 Hg
0.333 0.667 0.000 Hg
0.667 0.333 0.000 Hg
```

=====

B | LiPrHg: relaxed, PBE.

Computed properties:
Space group: I4mm (107)

POSCAR file:
```
LiPrHg
1.0
-1.925 1.925 5.084
1.925 -1.925 5.084
1.925 1.925 -5.084
Li Pr Hg
1 1 1
direct
0.000 0.000 0.000 Li
0.307 0.307 0.000 Pr
0.627 0.627 0.000 Hg
```

=====

Result of the stability comparison: A is the most stable of them.

=====

A | LiPrHg: relaxed, PBE.

Computed properties:
Space group: P-6m2 (187)

POSCAR file:
```
LiPrHg
1.0
4.960 0.000 0.000
-2.480 4.296 0.000
0.000 0.000 3.476
Li Pr Hg
1 1 1
direct
0.000 0.000 0.000 Li
0.667 0.333 0.500 Pr
0.333 0.667 0.000 Hg
```

=====

B | LiPrHg: relaxed, PBE.

Computed properties:
Space group: P4/nmm (129)

POSCAR file:
```
LiPrHg
1.0
3.745 0.000 0.000
0.000 3.745 0.000
0.000 0.000 10.748
Li Pr Hg
2 2 2
direct
0.250 0.250 0.070 Li
0.750 0.750 0.930 Li
0.250 0.250 0.384 Pr
0.750 0.750 0.616 Pr
0.250 0.250 0.801 Hg
0.750 0.750 0.199 Hg
```

=====

C | LiPrHg: relaxed, PBE.

Computed properties:
Space group: F-43m (216)

POSCAR file:
```
LiPrHg
1.0
0.000 3.552 3.552
3.552 0.000 3.552
3.552 3.552 0.000
Li Pr Hg
1 1 1
direct
0.000 0.000 0.000 Li
0.500 0.500 0.500 Pr
0.250 0.250 0.250 Hg
```

=====

Result of the stability comparison: A is the most stable of them.